No. 1
## La2TbYHo2 (GGA-PBE)

Data for crystalline La2TbYHo2 at its relaxed geometry.

Output
Its space group is Pmma, No. 51.

abc: 5.702 7.110 9.882
angles: 90.00 90.00 90.00
Atoms (fractional coordinates):
La: 0.000 0.758 0.824
La: 0.500 0.508 0.000
La: 0.000 0.258 0.176
La: 0.500 0.008 0.000
Ho: 0.500 0.758 0.665
Ho: 0.500 0.258 0.335
Ho: 0.000 0.257 0.833
Ho: 0.000 0.757 0.167
Y: 0.000 0.508 0.500
Y: 0.000 0.008 0.500
Tb: 0.500 0.258 0.660
Tb: 0.500 0.758 0.340

---

No. 2
## LaTbY2Ho (GGA-PBE)

Data for crystalline LaTbY2Ho at its relaxed geometry.

Output
Its space group is Pmmm, No. 47.

abc: 5.587 8.678 7.224
angles: 90.01 90.00 90.00
Atoms (fractional coordinates):
Y: 0.500 0.320 0.500
Y: 0.500 0.320 0.000
Y: 0.500 0.680 0.000
Y: 0.500 0.680 0.500
La: 0.000 0.000 0.000
La: 0.000 0.000 0.500
Tb: 0.500 0.000 0.250
Tb: 0.500 0.000 0.750
Ho: 0.000 0.500 0.250
Ho: 0.000 0.500 0.750

---

No. 3
## La2Tb2YHo4 (GGA-PBE)

Data for crystalline La2Tb2YHo4 at its relaxed geometry.

Output
Its space group is C2/m, No. 12.

abc: 3.620 9.558 9.609
angles: 115.25 90.00 100.92
Atoms (fractional coordinates):
La: 0.334 0.669 0.001
La: 0.666 0.331 0.999
Ho: 0.480 0.959 0.663
Ho: 0.520 0.041 0.337
Ho: 0.814 0.629 0.662
Ho: 0.186 0.371 0.338
Tb: 0.147 0.294 0.662
Tb: 0.853 0.706 0.338
Y: 0.000 0.000 0.000

---

No. 4
## La2Tb3Y6Ho (GGA-PBE)

Data for crystalline La2Tb3Y6Ho at its relaxed geometry.

Output
Its space group is C2/m, No. 12.

abc: 6.232 6.232 11.881
angles: 95.00 95.00 119.99
Atoms (fractional coordinates):
Tb: 0.500 0.500 0.500
Tb: 0.833 0.167 0.500
Tb: 0.167 0.833 0.500
Y: 0.583 0.915 0.747
Y: 0.753 0.753 0.254
Y: 0.247 0.247 0.746
Y: 0.915 0.583 0.747
Y: 0.417 0.085 0.253
Y: 0.085 0.417 0.253
La: 0.666 0.334 0.000
La: 0.334 0.666 0.000
Ho: 0.000 0.000 0.000

---

No. 5
## LaTb6Y2Ho (GGA-PBE)

Data for crystalline LaTb6Y2Ho at its relaxed geometry.

Output
Its space group is C2/c, No. 15.

abc: 9.356 8.850 8.850
angles: 115.77 92.16 92.16
Atoms (fractional coordinates):
Y: 0.944 0.696 0.795
Y: 0.056 0.304 0.205
Y: 0.556 0.205 0.304
Y: 0.444 0.795 0.696
La: 0.750 0.042 0.958
La: 0.250 0.958 0.042
Tb: 0.560 0.762 0.115
Tb: 0.440 0.238 0.885
Tb: 0.681 0.002 0.549
Tb: 0.611 0.471 0.709
Tb: 0.319 0.998 0.451
Tb: 0.940 0.885 0.238
Tb: 0.060 0.115 0.762
Tb: 0.819 0.451 0.998
Tb: 0.111 0.709 0.471
Tb: 0.389 0.529 0.291
Tb: 0.181 0.549 0.002
Tb: 0.889 0.291 0.529
Ho: 0.750 0.587 0.413
Ho: 0.250 0.413 0.587

---

No. 6
## La3TbY6Ho2 (GGA-PBE)

Data for crystalline La3TbY6Ho2 at its relaxed geometry.

Output
Its space group is C2/m, No. 12.

abc: 6.255 6.255 11.904
angles: 95.02 95.02 120.01
Atoms (fractional coordinates):
Tb: 0.000 0.000 0.000
Y: 0.252 0.252 0.756
Y: 0.081 0.415 0.244
Y: 0.919 0.585 0.756
Y: 0.585 0.919 0.756
Y: 0.415 0.081 0.244
Y: 0.748 0.748 0.244
La: 0.833 0.167 0.500
La: 0.167 0.833 0.500
La: 0.500 0.500 0.500
Ho: 0.333 0.667 0.000
Ho: 0.667 0.333 0.000

---

| no. | calculated formation energy (eV/atom) |
| --- | --- |
| 1 | 0.064 |
| 2 | 0.274 |
| 3 | 0.001 |
| 4 | 0.019 |
| 5 | 0.122 |
| 6 | 0.021 |